The following is a PBEsol calculation of a geometry-optimized InReW2S structure, from Alexandria via LeMat-Bulk.

Computed properties:
- DFT total energy (eV per atom) = -6.3614
- space-group type = No. 123
- total magnetic moment (μB/cell) = 0.20
- density of states at the Fermi level (states/eV per cell) = 5.9

Lattice parameters (Å, degrees): 4.954 4.954 4.518 90.00 90.00 90.00
Sites, in units of the cell vectors:
In (0.000, 0.000, 0.000)
Re (0.500, 0.500, 0.500)
W (0.000, 0.500, 0.000)
W (0.500, 0.000, 0.000)
S (0.000, 0.000, 0.500)

---

The following is a PBEsol calculation of a geometry-optimized MnAu2Br structure, from Alexandria via LeMat-Bulk.

Computed properties:
- DFT total energy (eV per atom) = -4.5793
- space-group type = No. 123
- total magnetic moment (μB/cell) = 4.69
- density of states at the Fermi level (states/eV per cell) = 1.6
- relative energy among the computed polymorphs (kJ/mol of atoms) = 13.5

Lattice parameters (Å, degrees): 3.800 3.800 5.327 90.00 90.00 90.00
Sites, in units of the cell vectors:
Mn (0.000, 0.000, 0.000)
Au (0.000, 0.500, 0.500)
Au (0.500, 0.000, 0.500)
Br (0.500, 0.500, 0.000)

---

The following is a PBEsol calculation of a geometry-optimized Zn2FeBr structure, from Alexandria via LeMat-Bulk.

Computed properties:
- DFT total energy (eV per atom) = -3.2181
- space-group type = No. 123
- total magnetic moment (μB/cell) = 1.81
- density of states at the Fermi level (states/eV per cell) = 3.9
- relative energy among the computed polymorphs (kJ/mol of atoms) = 7.2

Lattice parameters (Å, degrees): 3.139 3.139 6.522 90.00 90.00 90.00
Sites, in units of the cell vectors:
Zn (0.000, 0.000, 0.194)
Zn (0.000, 0.000, 0.806)
Fe (0.500, 0.500, 0.000)
Br (0.500, 0.500, 0.500)

---

The following is a PBEsol calculation of a geometry-optimized ScCr2Mo structure, from Alexandria via LeMat-Bulk.

Computed properties:
- DFT total energy (eV per atom) = -9.4333
- space-group type = No. 225
- total magnetic moment (μB/cell) = 2.46
- density of states at the Fermi level (states/eV per cell) = 5.7
- formation energy from the elements (eV/atom) = 0.281
- relative energy among the computed polymorphs (kJ/mol of atoms) = 0.0

Lattice parameters (Å, degrees): 4.340 4.340 4.340 60.00 60.00 60.00
Sites, in units of the cell vectors:
Sc (0.000, 0.000, 0.000)
Cr (0.250, 0.250, 0.250)
Cr (0.750, 0.750, 0.750)
Mo (0.500, 0.500, 0.500)

---

The following is a PBEsol calculation of a geometry-optimized LaScOs structure, from Alexandria via LeMat-Bulk.

Computed properties:
- DFT total energy (eV per atom) = -8.2060
- space-group type = No. 107
- total magnetic moment (μB/cell) = 0.00
- density of states at the Fermi level (states/eV per cell) = 1.7
- formation energy from the elements (eV/atom) = -0.150

Lattice parameters (Å, degrees): 6.904 6.904 6.904 152.48 152.48 39.31
Sites, in units of the cell vectors:
La (0.000, 0.000, 0.000)
Sc (0.745, 0.745, 0.000)
Os (0.355, 0.355, 0.000)

---

The following is a PBEsol calculation of a geometry-optimized BiMoBr2 structure, from Alexandria via LeMat-Bulk.

Computed properties:
- DFT total energy (eV per atom) = -4.5238
- space-group type = No. 166
- total magnetic moment (μB/cell) = 0.00
- density of states at the Fermi level (states/eV per cell) = 3.7
- relative energy among the computed polymorphs (kJ/mol of atoms) = 0.0

Lattice parameters (Å, degrees): 11.290 11.290 11.290 16.45 16.45 16.45
Sites, in units of the cell vectors:
Bi (0.000, 0.000, 0.000)
Mo (0.500, 0.500, 0.500)
Br (0.429, 0.429, 0.429)
Br (0.571, 0.571, 0.571)

---

The following is a PBEsol calculation of a geometry-optimized AlCu2W structure, from Alexandria via LeMat-Bulk.

Computed properties:
- DFT total energy (eV per atom) = -6.4307
- space-group type = No. 47
- total magnetic moment (μB/cell) = 0.00
- density of states at the Fermi level (states/eV per cell) = 2.5
- formation energy from the elements (eV/atom) = 0.211

Lattice parameters (Å, degrees): 2.853 4.337 4.348 90.00 90.00 90.00
Sites, in units of the cell vectors:
Al (0.000, 0.000, 0.000)
Cu (0.000, 0.500, 0.500)
Cu (0.500, 0.500, 0.000)
W (0.500, 0.000, 0.500)

---

The following is a PBEsol calculation of a geometry-optimized Cr2TeW structure, from Alexandria via LeMat-Bulk.

Computed properties:
- DFT total energy (eV per atom) = -9.0426
- space-group type = No. 123
- total magnetic moment (μB/cell) = 0.00
- density of states at the Fermi level (states/eV per cell) = 4.6

Lattice parameters (Å, degrees): 3.116 3.116 6.013 90.00 90.00 90.00
Sites, in units of the cell vectors:
Cr (0.000, 0.000, 0.238)
Cr (0.000, 0.000, 0.762)
Te (0.500, 0.500, 0.500)
W (0.500, 0.500, 0.000)

---

The following is a PBEsol calculation of a geometry-optimized MgCr2Ni structure, from Alexandria via LeMat-Bulk.

Computed properties:
- DFT total energy (eV per atom) = -6.7156
- space-group type = No. 123
- total magnetic moment (μB/cell) = 0.00
- density of states at the Fermi level (states/eV per cell) = 4.8
- formation energy from the elements (eV/atom) = 0.374

Lattice parameters (Å, degrees): 3.380 3.380 4.252 90.00 90.00 90.00
Sites, in units of the cell vectors:
Mg (0.000, 0.000, 0.000)
Cr (0.000, 0.500, 0.500)
Cr (0.500, 0.000, 0.500)
Ni (0.500, 0.500, 0.000)

---

The following is a PBEsol calculation of a geometry-optimized MoPb structure, from Alexandria via LeMat-Bulk.

Computed properties:
- DFT total energy (eV per atom) = -7.1016
- space-group type = No. 187
- total magnetic moment (μB/cell) = 0.00
- density of states at the Fermi level (states/eV per cell) = 1.7
- formation energy from the elements (eV/atom) = 0.782
- relative energy among the computed polymorphs (kJ/mol of atoms) = 0.0

Lattice parameters (Å, degrees): 3.231 3.231 4.304 90.00 90.00 120.00
Sites, in units of the cell vectors:
Mo (0.000, 0.000, 0.000)
Pb (0.667, 0.333, 0.500)

---

The following is a PBEsol calculation of a geometry-optimized Sc2BeP structure, from Alexandria via LeMat-Bulk.

Computed properties:
- DFT total energy (eV per atom) = -6.3480
- space-group type = No. 123
- total magnetic moment (μB/cell) = 0.09
- density of states at the Fermi level (states/eV per cell) = 2.5
- formation energy from the elements (eV/atom) = -0.598
- relative energy among the computed polymorphs (kJ/mol of atoms) = 27.9

Lattice parameters (Å, degrees): 3.328 3.328 5.702 90.00 90.00 90.00
Sites, in units of the cell vectors:
Sc (0.000, 0.000, 0.244)
Sc (0.000, 0.000, 0.756)
Be (0.500, 0.500, 0.500)
P (0.500, 0.500, 0.000)

---

The following is a PBEsol calculation of a geometry-optimized Zr6Be15Co8 structure, from Alexandria via LeMat-Bulk.

Computed properties:
- DFT total energy (eV per atom) = -6.4106
- space-group type = No. 225
- total magnetic moment (μB/cell) = 0.00
- density of states at the Fermi level (states/eV per cell) = 22.0
- formation energy from the elements (eV/atom) = -0.327

Lattice parameters (Å, degrees): 7.781 7.781 7.781 60.00 60.00 60.00
Sites, in units of the cell vectors:
Zr (0.212, 0.212, 0.788)
Zr (0.212, 0.788, 0.212)
Zr (0.212, 0.788, 0.788)
Zr (0.788, 0.212, 0.212)
Zr (0.788, 0.212, 0.788)
Zr (0.788, 0.788, 0.212)
Be (0.000, 0.000, 0.500)
Be (0.000, 0.500, 0.000)
Be (0.000, 0.500, 0.500)
Be (0.179, 0.179, 0.179)
Be (0.179, 0.179, 0.464)
Be (0.179, 0.464, 0.179)
Be (0.464, 0.179, 0.179)
Be (0.500, 0.000, 0.000)
Be (0.500, 0.000, 0.500)
Be (0.500, 0.500, 0.000)
Be (0.500, 0.500, 0.500)
Be (0.536, 0.821, 0.821)
Be (0.821, 0.536, 0.821)
Be (0.821, 0.821, 0.536)
Be (0.821, 0.821, 0.821)
Co (0.125, 0.625, 0.625)
Co (0.375, 0.375, 0.375)
Co (0.375, 0.375, 0.875)
Co (0.375, 0.875, 0.375)
Co (0.625, 0.125, 0.625)
Co (0.625, 0.625, 0.125)
Co (0.625, 0.625, 0.625)
Co (0.875, 0.375, 0.375)

---

The following is a PBEsol calculation of a geometry-optimized Ba2BiSe structure, from Alexandria via LeMat-Bulk.

Computed properties:
- DFT total energy (eV per atom) = -4.2356
- space-group type = No. 225
- total magnetic moment (μB/cell) = 0.00
- density of states at the Fermi level (states/eV per cell) = 7.3
- relative energy among the computed polymorphs (kJ/mol of atoms) = 0.0

Lattice parameters (Å, degrees): 5.838 5.838 5.838 60.00 60.00 60.00
Sites, in units of the cell vectors:
Ba (0.250, 0.250, 0.250)
Ba (0.750, 0.750, 0.750)
Bi (0.000, 0.000, 0.000)
Se (0.500, 0.500, 0.500)

---

The following is a PBEsol calculation of a geometry-optimized MgOs2Br structure, from Alexandria via LeMat-Bulk.

Computed properties:
- DFT total energy (eV per atom) = -6.6589
- space-group type = No. 99
- total magnetic moment (μB/cell) = 0.00
- density of states at the Fermi level (states/eV per cell) = 3.0
- relative energy among the computed polymorphs (kJ/mol of atoms) = 0.0

Lattice parameters (Å, degrees): 2.953 2.953 7.657 90.00 90.00 90.00
Sites, in units of the cell vectors:
Mg (0.000, 0.000, 0.000)
Os (0.000, 0.000, 0.446)
Os (0.500, 0.500, 0.247)
Br (0.500, 0.500, 0.712)

---

The following is a PBEsol calculation of a geometry-optimized NiTePdI2 structure, from Alexandria via LeMat-Bulk.

Computed properties:
- DFT total energy (eV per atom) = -3.2536
- space-group type = No. 123
- total magnetic moment (μB/cell) = 0.00
- density of states at the Fermi level (states/eV per cell) = 7.8

Lattice parameters (Å, degrees): 5.134 5.134 4.915 90.00 90.00 90.00
Sites, in units of the cell vectors:
Ni (0.000, 0.000, 0.000)
Te (0.000, 0.000, 0.500)
Pd (0.500, 0.500, 0.500)
I (0.000, 0.500, 0.000)
I (0.500, 0.000, 0.000)

---

The following is a PBEsol calculation of a geometry-optimized In2NiP structure, from Alexandria via LeMat-Bulk.

Computed properties:
- DFT total energy (eV per atom) = -4.0884
- space-group type = No. 216
- total magnetic moment (μB/cell) = 0.00
- density of states at the Fermi level (states/eV per cell) = 2.9
- formation energy from the elements (eV/atom) = 0.390

Lattice parameters (Å, degrees): 4.671 4.671 4.671 60.00 60.00 60.00
Sites, in units of the cell vectors:
In (0.000, 0.000, 0.000)
In (0.250, 0.250, 0.250)
Ni (0.750, 0.750, 0.750)
P (0.500, 0.500, 0.500)

---

The following is a PBEsol calculation of a geometry-optimized Ti17N6O24 structure, from Alexandria via LeMat-Bulk.

Computed properties:
- DFT total energy (eV per atom) = -9.4881
- space-group type = No. 11
- total magnetic moment (μB/cell) = 0.00
- density of states at the Fermi level (states/eV per cell) = 11.2

Lattice parameters (Å, degrees): 7.576 9.911 14.456 90.00 97.53 90.00
Sites, in units of the cell vectors:
Ti (0.016, 0.075, 0.093)
Ti (0.016, 0.425, 0.093)
Ti (0.030, 0.750, 0.132)
Ti (0.131, 0.250, 0.534)
Ti (0.144, 0.570, 0.577)
Ti (0.144, 0.930, 0.577)
Ti (0.190, 0.061, 0.759)
Ti (0.190, 0.439, 0.759)
Ti (0.300, 0.250, 0.198)
Ti (0.310, 0.571, 0.239)
Ti (0.310, 0.929, 0.239)
Ti (0.356, 0.072, 0.426)
Ti (0.356, 0.428, 0.426)
Ti (0.364, 0.750, 0.465)
Ti (0.463, 0.250, 0.868)
Ti (0.469, 0.575, 0.907)
Ti (0.469, 0.925, 0.907)
Ti (0.531, 0.075, 0.093)
Ti (0.531, 0.425, 0.093)
Ti (0.537, 0.750, 0.132)
Ti (0.636, 0.250, 0.535)
Ti (0.644, 0.572, 0.574)
Ti (0.644, 0.928, 0.574)
Ti (0.690, 0.071, 0.761)
Ti (0.690, 0.429, 0.761)
Ti (0.700, 0.750, 0.802)
Ti (0.810, 0.561, 0.241)
Ti (0.810, 0.939, 0.241)
Ti (0.856, 0.070, 0.423)
Ti (0.856, 0.430, 0.423)
Ti (0.869, 0.750, 0.466)
Ti (0.970, 0.250, 0.868)
Ti (0.984, 0.575, 0.907)
Ti (0.984, 0.925, 0.907)
N (0.053, 0.250, 0.144)
N (0.129, 0.750, 0.511)
N (0.205, 0.250, 0.822)
N (0.295, 0.750, 0.181)
N (0.373, 0.250, 0.487)
N (0.481, 0.750, 0.856)
N (0.519, 0.250, 0.144)
N (0.627, 0.750, 0.513)
N (0.705, 0.250, 0.819)
N (0.795, 0.750, 0.178)
N (0.871, 0.250, 0.489)
N (0.947, 0.750, 0.856)
O (0.016, 0.620, 0.033)
O (0.016, 0.880, 0.033)
O (0.052, 0.564, 0.209)
O (0.052, 0.936, 0.209)
O (0.114, 0.067, 0.456)
O (0.114, 0.433, 0.456)
O (0.158, 0.122, 0.633)
O (0.158, 0.378, 0.633)
O (0.176, 0.609, 0.697)
O (0.176, 0.891, 0.697)
O (0.221, 0.547, 0.883)
O (0.221, 0.953, 0.883)
O (0.282, 0.060, 0.127)
O (0.282, 0.440, 0.127)
O (0.327, 0.119, 0.301)
O (0.327, 0.381, 0.301)
O (0.341, 0.619, 0.365)
O (0.341, 0.881, 0.365)
O (0.385, 0.564, 0.541)
O (0.385, 0.936, 0.541)
O (0.447, 0.064, 0.791)
O (0.447, 0.436, 0.791)
O (0.500, 0.120, 0.967)
O (0.500, 0.380, 0.967)
O (0.500, 0.620, 0.033)
O (0.500, 0.880, 0.033)
O (0.553, 0.564, 0.209)
O (0.553, 0.936, 0.209)
O (0.615, 0.064, 0.459)
O (0.615, 0.436, 0.459)
O (0.659, 0.119, 0.635)
O (0.659, 0.381, 0.635)
O (0.673, 0.619, 0.699)
O (0.673, 0.881, 0.699)
O (0.718, 0.560, 0.873)
O (0.718, 0.940, 0.873)
O (0.779, 0.047, 0.117)
O (0.779, 0.453, 0.117)
O (0.824, 0.109, 0.303)
O (0.824, 0.391, 0.303)
O (0.842, 0.622, 0.367)
O (0.842, 0.878, 0.367)
O (0.886, 0.567, 0.544)
O (0.886, 0.933, 0.544)
O (0.948, 0.064, 0.791)
O (0.948, 0.436, 0.791)
O (0.984, 0.120, 0.967)
O (0.984, 0.380, 0.967)

---

The following is a PBEsol calculation of a geometry-optimized ScAgN2F structure, from Alexandria via LeMat-Bulk.

Computed properties:
- DFT total energy (eV per atom) = -5.9064
- space-group type = No. 123
- total magnetic moment (μB/cell) = 1.66
- density of states at the Fermi level (states/eV per cell) = 3.4

Lattice parameters (Å, degrees): 4.179 4.179 3.952 90.00 90.00 90.00
Sites, in units of the cell vectors:
Sc (0.000, 0.000, 0.000)
Ag (0.500, 0.500, 0.500)
N (0.000, 0.500, 0.000)
N (0.500, 0.000, 0.000)
F (0.000, 0.000, 0.500)

---

The following is a PBEsol calculation of a geometry-optimized NdCdIn structure, from Alexandria via LeMat-Bulk.

Computed properties:
- DFT total energy (eV per atom) = -3.5952
- space-group type = No. 164
- total magnetic moment (μB/cell) = 0.00
- density of states at the Fermi level (states/eV per cell) = 1.5
- formation energy from the elements (eV/atom) = -0.480

Lattice parameters (Å, degrees): 4.847 4.847 7.579 90.00 90.00 120.00
Sites, in units of the cell vectors:
Nd (0.000, 0.000, 0.239)
Nd (0.000, 0.000, 0.761)
Cd (0.333, 0.667, 0.975)
Cd (0.667, 0.333, 0.025)
In (0.333, 0.667, 0.551)
In (0.667, 0.333, 0.449)

---

The following is a PBEsol calculation of a geometry-optimized Mg2AlCl structure, from Alexandria via LeMat-Bulk.

Computed properties:
- DFT total energy (eV per atom) = -2.8239
- space-group type = No. 166
- total magnetic moment (μB/cell) = 0.00
- density of states at the Fermi level (states/eV per cell) = 1.1
- relative energy among the computed polymorphs (kJ/mol of atoms) = 0.0

Lattice parameters (Å, degrees): 8.302 8.302 8.302 23.60 23.60 23.60
Sites, in units of the cell vectors:
Mg (0.249, 0.249, 0.249)
Mg (0.751, 0.751, 0.751)
Al (0.000, 0.000, 0.000)
Cl (0.500, 0.500, 0.500)